## AsSe3 (PBE-GGA)

Data for a geometry-optimized AsSe3 structure.

Results
Energy relative to the elements, uncorrected ... 0.3321 eV per atom
Crystal system ... tetragonal
E_tot ... -3.444 eV/atom
Energy relative to the lowest polymorph listed for this composition ... 261 meV/atom

Cell lengths 2.638, 2.638, 16.723 Å; angles 90.00, 90.00, 90.00 degrees
Positions (direct):
Se: 0.500 0.500 0.754
Se: 0.500 0.500 0.246
Se: 0.000 0.000 0.500
As: 0.000 0.000 0.000